a.
This record from the Alexandria database describes crystalline Pm6TlRu2 at its relaxed geometry. The functional is PBE.

Cell: 8.7117 8.7117 8.7117 Å, 113.05 110.55 104.91°
Fractional positions:
Pm: 0.0306 0.2369 0.7937
Pm: 0.1830 0.2863 0.4693
Pm: 0.1830 0.7137 0.8967
Pm: 0.3285 0.0168 0.6883
Pm: 0.3285 0.6402 0.3117
Pm: 0.4432 0.2369 0.2063
Pm: 0.5568 0.7631 0.7937
Pm: 0.6715 0.3598 0.6883
Pm: 0.6715 0.9832 0.3117
Pm: 0.8170 0.2863 0.1033
Pm: 0.8170 0.7137 0.5307
Pm: 0.9694 0.7631 0.2063
Tl: 0.0000 0.0000 0.0000
Tl: 0.5000 0.5000 0.0000
Ru: 0.1244 0.6244 0.5000
Ru: 0.3290 0.0000 0.3290
Ru: 0.6710 0.0000 0.6710
Ru: 0.8756 0.3756 0.5000

b.
This record from the Alexandria database describes crystalline Pm6TlRu2 at its relaxed geometry. The functional is PBE.

Cell: 5.8207 5.8207 9.4349 Å, 101.06 101.06 52.59°
Fractional positions:
Pm: 0.0334 0.0334 0.3476
Pm: 0.2937 0.2937 0.6606
Pm: 0.3341 0.3341 0.1196
Pm: 0.6659 0.6659 0.8804
Pm: 0.7063 0.7063 0.3394
Pm: 0.9666 0.9666 0.6524
Tl: 0.0000 0.0000 0.0000
Ru: 0.3837 0.3837 0.4037
Ru: 0.6163 0.6163 0.5963

So which one is most stable? That would be a, about 66 meV per atom below the next structure.

a.
This record from the Alexandria database describes crystalline PmTm3Ru2 at its relaxed geometry. The functional is PBE.

Cell: 6.6378 6.6378 3.9611 Å, 90.00 90.00 120.00°
Fractional positions:
Pm: 0.0000 0.0000 0.0000
Tm: 0.0000 0.5000 0.5000
Tm: 0.5000 0.0000 0.5000
Tm: 0.5000 0.5000 0.5000
Ru: 0.3333 0.6667 0.0000
Ru: 0.6667 0.3333 0.0000

b.
This record from the Alexandria database describes crystalline PmTm3Ru2 at its relaxed geometry. The functional is PBE.

Cell: 3.3900 3.3900 12.2480 Å, 90.00 90.00 90.00°
Fractional positions:
Pm: 0.0000 0.0000 0.0000
Tm: 0.5000 0.5000 0.2316
Tm: 0.5000 0.5000 0.5000
Tm: 0.5000 0.5000 0.7684
Ru: 0.0000 0.0000 0.3579
Ru: 0.0000 0.0000 0.6421

So which one is most stable? That would be b, about 152 meV per atom below the next structure.

a.
This record from the Alexandria database describes crystalline PmTmZnRu at its relaxed geometry. The functional is PBE.

Cell: 4.3113 5.6670 5.6670 Å, 40.73 90.00 90.00°
Fractional positions:
Pm: 0.0000 0.0000 0.0000
Tm: 0.5000 0.2837 0.2837
Zn: 0.5000 0.5796 0.5796
Ru: 0.0000 0.7237 0.7237

b.
This record from the Alexandria database describes crystalline PmTmZnRu at its relaxed geometry. The functional is PBE.

Cell: 4.9492 4.9492 4.9492 Å, 60.00 60.00 60.00°
Fractional positions:
Pm: 0.0000 0.0000 0.0000
Tm: 0.5000 0.5000 0.5000
Zn: 0.7500 0.7500 0.7500
Ru: 0.2500 0.2500 0.2500

So which one is most stable? That would be b, about 16 meV per atom below the next structure.